[1]
DFT (GGA-PBE) results for crystalline BeB2AuC at its relaxed geometry.

Cell lengths 4.0535, 4.0535, 4.5246 Å; angles 90.00, 90.00, 90.00 degrees
Element x y z (fractional)
Be 0.0000 0.0000 0.0000
B 0.0000 0.5000 0.5000
B 0.5000 0.0000 0.5000
Au 0.0000 0.0000 0.5000
C 0.5000 0.5000 0.0000

Values from the calculation:
formation enthalpy at 0 K	2.358	eV/atom
crystal system	tetragonal



[2]
DFT (GGA-PBE) results for crystalline Be2BAuCl at its relaxed geometry.

Cell lengths 3.7975, 3.7975, 4.8413 Å; angles 90.00, 90.00, 90.00 degrees
Element x y z (fractional)
Be 0.0000 0.5000 0.0000
Be 0.5000 0.0000 0.0000
B 0.0000 0.0000 0.0000
Au 0.0000 0.0000 0.5000
Cl 0.5000 0.5000 0.5000

Values from the calculation:
crystal system	tetragonal
total energy	-17.252	eV/cell



[3]
DFT (GGA-PBE) results for crystalline BeGa2BAu at its relaxed geometry.

Cell lengths 4.3443, 4.3443, 4.4905 Å; angles 90.00, 90.00, 90.00 degrees
Element x y z (fractional)
Be 0.0000 0.0000 0.0000
Ga 0.0000 0.5000 0.0000
Ga 0.5000 0.0000 0.0000
B 0.5000 0.5000 0.5000
Au 0.0000 0.0000 0.5000

Values from the calculation:
formation enthalpy at 0 K	0.957	eV/atom
crystal system	tetragonal



[4]
DFT (GGA-PBE) results for crystalline Be2BHAu at its relaxed geometry.

Cell lengths 3.9253, 3.9253, 3.1661 Å; angles 90.00, 90.00, 90.00 degrees
Element x y z (fractional)
Be 0.0000 0.5000 0.0000
Be 0.5000 0.0000 0.0000
B 0.0000 0.0000 0.0000
H 0.0000 0.0000 0.5000
Au 0.5000 0.5000 0.5000

Values from the calculation:
crystal system	tetragonal
total energy	-18.061	eV/cell



[5]
DFT (GGA-PBE) results for crystalline BeBPIrAu at its relaxed geometry.

Cell lengths 4.9641, 2.7726, 5.1481 Å; angles 90.00, 107.71, 90.00 degrees
Element x y z (fractional)
Be 0.0000 0.0000 0.0000
B 0.5736 0.0000 0.3499
P 0.9632 0.0000 0.5730
Ir 0.2458 0.5000 0.3706
Au 0.5768 0.5000 0.9779

Values from the calculation:
formation enthalpy at 0 K	-0.025	eV/atom
crystal system	monoclinic



[6]
DFT (GGA-PBE) results for crystalline BeBPIrAu at its relaxed geometry.

Cell lengths 2.9391, 3.8036, 6.1837 Å; angles 106.21, 98.44, 91.99 degrees
Element x y z (fractional)
Be 0.0000 0.0000 0.0000
B 0.0816 0.4325 0.3287
P 0.5687 0.1048 0.3518
Ir 0.5253 0.5341 0.0668
Au 0.3831 0.8471 0.6774

Values from the calculation:
formation enthalpy at 0 K	0.066	eV/atom
crystal system	triclinic



[7]
DFT (GGA-PBE) results for crystalline BeBPIrAu at its relaxed geometry.

Cell lengths 3.1146, 3.4661, 6.8399 Å; angles 103.72, 97.60, 93.48 degrees
Element x y z (fractional)
Be 0.0000 0.0000 0.0000
B 0.2446 0.8852 0.7188
P 0.6843 0.6147 0.6038
Ir 0.4412 0.4688 0.9123
Au 0.5886 0.1483 0.2730

Values from the calculation:
formation enthalpy at 0 K	-0.025	eV/atom
crystal system	triclinic



[8]
DFT (GGA-PBE) results for crystalline BeBPIrAu at its relaxed geometry.

Cell lengths 2.8199, 3.1582, 7.7134 Å; angles 78.24, 89.83, 89.99 degrees
Element x y z (fractional)
Be 0.0000 0.0000 0.0000
B 0.9978 0.3203 0.3469
P 0.9974 0.7505 0.4868
Ir 0.4992 0.4336 0.1328
Au 0.4946 0.6159 0.7615

Values from the calculation:
formation enthalpy at 0 K	-0.111	eV/atom
crystal system	triclinic



[9]
DFT (GGA-PBE) results for crystalline BeBPIrAu at its relaxed geometry.

Cell lengths 4.0221, 4.0560, 4.7308 Å; angles 88.52, 80.69, 89.88 degrees
Element x y z (fractional)
Be 0.0000 0.0000 0.0000
B 0.4282 0.5163 0.4611
P 0.0636 0.4506 0.7600
Ir 0.9387 0.5256 0.2766
Au 0.4446 0.0211 0.2725

Values from the calculation:
formation enthalpy at 0 K	0.008	eV/atom
crystal system	triclinic



[10]
DFT (GGA-PBE) results for crystalline BeBPIrAu at its relaxed geometry.

Cell lengths 4.5304, 3.1164, 4.7982 Å; angles 90.00, 99.35, 90.00 degrees
Element x y z (fractional)
Be 0.0000 0.0000 0.0000
B 0.4717 0.5000 0.5498
P 0.2385 0.0000 0.4151
Ir 0.9343 0.5000 0.6463
Au 0.5574 0.5000 0.0528

Values from the calculation:
formation enthalpy at 0 K	-0.003	eV/atom
crystal system	monoclinic



[11]
DFT (GGA-PBE) results for crystalline BeBPIrAu at its relaxed geometry.

Cell lengths 7.7745, 2.9033, 6.5462 Å; angles 90.00, 101.59, 90.00 degrees
Element x y z (fractional)
Be 0.0000 0.0000 0.0000
Be 0.5000 0.5000 0.0000
B 0.4534 0.0000 0.2023
B 0.9534 0.5000 0.2023
P 0.1502 0.5000 0.4303
P 0.6502 0.0000 0.4303
Ir 0.2415 0.5000 0.1151
Ir 0.7415 0.0000 0.1151
Au 0.2036 0.0000 0.7286
Au 0.7036 0.5000 0.7286

Values from the calculation:
formation enthalpy at 0 K	-0.032	eV/atom
crystal system	monoclinic



[12]
DFT (GGA-PBE) results for crystalline BeBPIrAu at its relaxed geometry.

Cell lengths 4.3571, 4.4532, 4.5929 Å; angles 74.06, 72.02, 82.28 degrees
Element x y z (fractional)
Be 0.0000 0.0000 0.0000
B 0.8603 0.3358 0.6442
P 0.5461 0.4361 0.9926
Ir 0.9991 0.4575 0.1499
Au 0.9424 0.8569 0.5574

Values from the calculation:
formation enthalpy at 0 K	0.059	eV/atom
crystal system	triclinic



Calculated volume
In order: 14.87; 13.96; 16.95; 9.76; 13.50; 13.09; 14.16; 13.45; 15.23; 13.37; 14.47; 16.28
Unit: Å³ per atom